SrZn2O3 | PBE-GGA | relaxed

Cell and atoms, written as POSCAR:
```
SrZn2O3
1.0
4.165 0.000 0.000
0.000 10.611 0.000
0.000 0.000 3.337
Sr Zn O
2 4 6
Direct
0.250 0.250 0.238
0.750 0.750 0.762
0.250 0.563 0.255
0.250 0.937 0.255
0.750 0.063 0.745
0.750 0.437 0.745
0.250 0.054 0.755
0.250 0.446 0.755
0.250 0.750 0.295
0.750 0.250 0.705
0.750 0.554 0.245
0.750 0.946 0.245
```

Output
- Energy: -4.99 eV/atom
- Mass density: 6.00 Mg/m³
- Energy above the most stable polymorph in this dataset: 0.06 eV/f.u.